First-principles (PBE) data for a geometry-optimized Pm2ThTl2Ag2 structure, as listed in the Alexandria database.

Unit cell a=4.9372 b=4.9372 c=9.2740 alpha=74.56 beta=74.56 gamma=60.00
With the nearest neighbours (Å) after each atom.
Fractional positions:
Ag 0.4297 0.4297 0.7109  3 Tl 2.97, 3 Pm 3.02
Ag 0.5703 0.5703 0.2891  3 Tl 2.97, 3 Pm 3.02
Pm 0.1343 0.1343 0.5970  3 Ag 3.02, 3 Pm 3.33
Th 0.0000 0.0000 0.0000  6 Tl 3.33, 2 Pm 3.56
Tl 0.7320 0.7320 0.8040  3 Ag 2.97
Tl 0.2680 0.2680 0.1960  3 Ag 2.97
Pm 0.8657 0.8657 0.4030  3 Ag 3.02, 3 Pm 3.33

Output
**V**: 186.30 Å³/f.u.
**Magnetic moment**: 0.00 μB/f.u.
**Space group**: R-3m

***

First-principles (PBE) data for a geometry-optimized PmThTlAg structure, as listed in the Alexandria database.

Unit cell a=5.4085 b=5.4085 c=5.4085 alpha=60.00 beta=60.00 gamma=60.00
With the nearest neighbours (Å) after each atom.
Fractional positions:
Pm 0.0000 0.0000 0.0000  4 Ag 3.31, 4 Tl 3.31
Th 0.5000 0.5000 0.5000  4 Tl 3.31, 4 Ag 3.31
Ag 0.2500 0.2500 0.2500  4 Th 3.31, 4 Pm 3.31
Tl 0.7500 0.7500 0.7500  4 Th 3.31, 4 Pm 3.31

Output
**V**: 111.87 Å³/f.u.
**Magnetic moment**: 0.57 μB/f.u.
**Space group**: F-43m

***

First-principles (PBE) data for a geometry-optimized PmThZnAg structure, as listed in the Alexandria database.

Unit cell a=5.2396 b=5.2396 c=5.2396 alpha=60.00 beta=60.00 gamma=60.00
With the nearest neighbours (Å) after each atom.
Fractional positions:
Th 0.0000 0.0000 0.0000  4 Zn 3.21, 4 Ag 3.21
Pm 0.5000 0.5000 0.5000  4 Ag 3.21, 4 Zn 3.21
Zn 0.2500 0.2500 0.2500  4 Th 3.21, 4 Pm 3.21
Ag 0.7500 0.7500 0.7500  4 Th 3.21, 4 Pm 3.21

Output
**V**: 101.72 Å³/f.u.
**Magnetic moment**: 0.00 μB/f.u.
**Space group**: F-43m

***

In the order shown, the computed total energy values come out to -28.15; -18.05; -16.94 eV for the cell shown.